[1]
The following is a PBE-GGA calculation of an optimized crystal structure of Na2LiBi2, from Alexandria via LeMat-Bulk.

* density: 5.25 Mg/m³
* total DFT energy (no corrections): -27.954 eV per cell
* D(E_F): 0.341 states/eV/atom
* energy relative to the lowest polymorph listed for this composition: 0 meV/atom

```
data_Na2LiBi2
_chemical_formula_sum 'Na4 Li2 Bi4'
_cell_length_a 4.840
_cell_length_b 6.466
_cell_length_c 9.525
_cell_angle_alpha 90.00
_cell_angle_beta 90.00
_cell_angle_gamma 90.00
_space_group_name_H-M_alt 'I m m m'
_space_group_IT_number 71
_space_group_name_Hall '-I 2 2'
loop_
_atom_site_label
_atom_site_type_symbol
_atom_site_fract_x
_atom_site_fract_y
_atom_site_fract_z
_atom_site_occupancy
Na1 Na 0.000 0.000 0.191 1
Li1 Li 0.000 0.500 0.000 1
Bi1 Bi 0.000 0.254 0.500 1
```

[2]
The following is a PBE-GGA calculation of an optimized crystal structure of NaLi4Bi, from Alexandria via LeMat-Bulk.

* density: 3.36 Mg/m³
* total DFT energy (no corrections): -56.089 eV per cell
* D(E_F): 0.326 states/eV/atom
* energy relative to the lowest polymorph listed for this composition: 0 meV/atom

```
data_NaLi4Bi
_chemical_formula_sum 'Na4 Li16 Bi4'
_cell_length_a 8.004
_cell_length_b 8.004
_cell_length_c 8.004
_cell_angle_alpha 90.00
_cell_angle_beta 90.00
_cell_angle_gamma 90.00
_space_group_name_H-M_alt 'F -4 3 m'
_space_group_IT_number 216
_space_group_name_Hall 'F -4 2 3'
loop_
_atom_site_label
_atom_site_type_symbol
_atom_site_fract_x
_atom_site_fract_y
_atom_site_fract_z
_atom_site_occupancy
Na1 Na 0.000 0.000 0.000 1
Li1 Li 0.125 0.125 0.625 1
Bi1 Bi 0.250 0.250 0.250 1
```

[3]
The following is a PBE-GGA calculation of an optimized crystal structure of NaLi2Bi, from Alexandria via LeMat-Bulk.

* density: 4.40 Mg/m³
* total DFT energy (no corrections): -10.222 eV per cell
* D(E_F): 0.397 states/eV/atom

```
data_NaLi2Bi
_chemical_formula_sum 'Na1 Li2 Bi1'
_cell_length_a 4.755
_cell_length_b 4.755
_cell_length_c 4.103
_cell_angle_alpha 90.00
_cell_angle_beta 90.00
_cell_angle_gamma 90.00
_space_group_name_H-M_alt 'P 4/m m m'
_space_group_IT_number 123
_space_group_name_Hall '-P 4 2'
loop_
_atom_site_label
_atom_site_type_symbol
_atom_site_fract_x
_atom_site_fract_y
_atom_site_fract_z
_atom_site_occupancy
Na1 Na 0.000 0.000 0.000 1
Li1 Li 0.000 0.500 0.500 1
Bi1 Bi 0.500 0.500 0.000 1
```

[4]
The following is a PBE-GGA calculation of an optimized crystal structure of Na2LiBi2, from Alexandria via LeMat-Bulk.

* density: 4.82 Mg/m³
* total DFT energy (no corrections): -25.746 eV per cell
* D(E_F): 0.295 states/eV/atom
* energy relative to the lowest polymorph listed for this composition: 221 meV/atom

```
data_Na2LiBi2
_chemical_formula_sum 'Na4 Li2 Bi4'
_cell_length_a 4.778
_cell_length_b 4.778
_cell_length_c 14.206
_cell_angle_alpha 90.00
_cell_angle_beta 90.00
_cell_angle_gamma 90.00
_space_group_name_H-M_alt 'I 4/m m m'
_space_group_IT_number 139
_space_group_name_Hall '-I 4 2'
loop_
_atom_site_label
_atom_site_type_symbol
_atom_site_fract_x
_atom_site_fract_y
_atom_site_fract_z
_atom_site_occupancy
Na1 Na 0.000 0.500 0.250 1
Li1 Li 0.000 0.000 0.000 1
Bi1 Bi 0.000 0.000 0.398 1
```

[5]
The following is a PBE-GGA calculation of an optimized crystal structure of NaLi7Bi4, from Alexandria via LeMat-Bulk.

* density: 5.31 Mg/m³
* total DFT energy (no corrections): -69.017 eV per cell
* D(E_F): 0.117 states/eV/atom

```
data_NaLi7Bi4
_chemical_formula_sum 'Na2 Li14 Bi8'
_cell_length_a 12.679
_cell_length_b 5.139
_cell_length_c 10.593
_cell_angle_alpha 90.00
_cell_angle_beta 124.60
_cell_angle_gamma 90.00
_space_group_name_H-M_alt 'C 1 2/m 1'
_space_group_IT_number 12
loop_
_space_group_symop_operation_xyz
'x,y,z'
'-x,-y,-z'
'-x,y,-z'
'x,-y,z'
'x+1/2,y+1/2,z'
'-x+1/2,-y+1/2,-z'
'-x+1/2,y+1/2,-z'
'x+1/2,-y+1/2,z'
loop_
_atom_site_label
_atom_site_type_symbol
_atom_site_fract_x
_atom_site_fract_y
_atom_site_fract_z
_atom_site_occupancy
Na1 Na 0.000 0.000 0.000 1
Li1 Li 0.000 0.500 0.000 1
Li2 Li 0.091 0.000 0.447 1
Li3 Li 0.181 0.500 0.900 1
Li4 Li 0.229 0.500 0.644 1
Bi1 Bi 0.092 0.500 0.307 1
Bi2 Bi 0.201 0.000 0.775 1
```

[6]
The following is a PBE-GGA calculation of an optimized crystal structure of Na4Li6Bi7, from Alexandria via LeMat-Bulk.

* density: 5.77 Mg/m³
* total DFT energy (no corrections): -97.301 eV per cell
* D(E_F): 0.525 states/eV/atom

```
data_Na4Li6Bi7
_chemical_formula_sum 'Na8 Li12 Bi14'
_cell_length_a 9.723
_cell_length_b 9.723
_cell_length_c 9.723
_cell_angle_alpha 90.00
_cell_angle_beta 90.00
_cell_angle_gamma 90.00
_space_group_name_H-M_alt 'I m -3 m'
_space_group_IT_number 229
_space_group_name_Hall '-I 4 2 3'
loop_
_atom_site_label
_atom_site_type_symbol
_atom_site_fract_x
_atom_site_fract_y
_atom_site_fract_z
_atom_site_occupancy
Na1 Na 0.250 0.250 0.250 1
Li1 Li 0.000 0.000 0.291 1
Bi1 Bi 0.000 0.000 0.000 1
Bi2 Bi 0.000 0.250 0.500 1
```

[7]
The following is a PBE-GGA calculation of an optimized crystal structure of NaLiBi2, from Alexandria via LeMat-Bulk.

* density: 6.95 Mg/m³
* total DFT energy (no corrections): -24.531 eV per cell
* D(E_F): 0.275 states/eV/atom
* energy relative to the lowest polymorph listed for this composition: 24 meV/atom

```
data_NaLiBi2
_chemical_formula_sum 'Na2 Li2 Bi4'
_cell_length_a 6.728
_cell_length_b 9.308
_cell_length_c 4.735
_cell_angle_alpha 90.00
_cell_angle_beta 133.83
_cell_angle_gamma 90.00
_space_group_name_H-M_alt 'C 1 2/m 1'
_space_group_IT_number 12
loop_
_space_group_symop_operation_xyz
'x,y,z'
'-x,-y,-z'
'-x,y,-z'
'x,-y,z'
'x+1/2,y+1/2,z'
'-x+1/2,-y+1/2,-z'
'-x+1/2,y+1/2,-z'
'x+1/2,-y+1/2,z'
loop_
_atom_site_label
_atom_site_type_symbol
_atom_site_fract_x
_atom_site_fract_y
_atom_site_fract_z
_atom_site_occupancy
Na1 Na 0.000 0.000 0.000 1
Li1 Li 0.000 0.500 0.000 1
Bi1 Bi 0.000 0.251 0.500 1
```

[8]
The following is a PBE-GGA calculation of an optimized crystal structure of NaLiBi2, from Alexandria via LeMat-Bulk.

* density: 6.94 Mg/m³
* total DFT energy (no corrections): -12.249 eV per cell
* D(E_F): 0.293 states/eV/atom
* energy relative to the lowest polymorph listed for this composition: 28 meV/atom

```
data_NaLiBi2
_chemical_formula_sum 'Na1 Li1 Bi2'
_cell_length_a 4.781
_cell_length_b 4.781
_cell_length_c 4.688
_cell_angle_alpha 90.00
_cell_angle_beta 90.00
_cell_angle_gamma 90.00
_space_group_name_H-M_alt 'P 4/m m m'
_space_group_IT_number 123
_space_group_name_Hall '-P 4 2'
loop_
_atom_site_label
_atom_site_type_symbol
_atom_site_fract_x
_atom_site_fract_y
_atom_site_fract_z
_atom_site_occupancy
Na1 Na 0.000 0.000 0.000 1
Li1 Li 0.500 0.500 0.000 1
Bi1 Bi 0.000 0.500 0.500 1
```

[9]
The following is a PBE-GGA calculation of an optimized crystal structure of NaLiBi2, from Alexandria via LeMat-Bulk.

* density: 6.94 Mg/m³
* total DFT energy (no corrections): -36.237 eV per cell
* D(E_F): 0.667 states/eV/atom
* energy relative to the lowest polymorph listed for this composition: 70 meV/atom

```
data_NaLiBi2
_chemical_formula_sum 'Na3 Li3 Bi6'
_cell_length_a 3.5244
_cell_length_b 3.5244
_cell_length_c 29.8998
_cell_angle_alpha 90.00
_cell_angle_beta 90.00
_cell_angle_gamma 120.00
_space_group_name_H-M_alt 'R -3 m'
_space_group_IT_number 166
_space_group_name_Hall '-R 3 2"'
loop_
_atom_site_label
_atom_site_type_symbol
_atom_site_fract_x
_atom_site_fract_y
_atom_site_fract_z
_atom_site_occupancy
Na1 Na 0.0000 0.0000 0.0000 1
Li1 Li 0.0000 0.0000 0.5000 1
Bi1 Bi 0.0000 0.0000 0.2443 1
```

[10]
The following is a PBE-GGA calculation of an optimized crystal structure of NaLi2Bi2, from Alexandria via LeMat-Bulk.

* density: 6.12 Mg/m³
* total DFT energy (no corrections): -29.619 eV per cell
* D(E_F): 0.253 states/eV/atom
* energy relative to the lowest polymorph listed for this composition: 0 meV/atom

```
data_NaLi2Bi2
_chemical_formula_sum 'Na2 Li4 Bi4'
_cell_length_a 8.678
_cell_length_b 8.678
_cell_length_c 3.276
_cell_angle_alpha 90.00
_cell_angle_beta 90.00
_cell_angle_gamma 90.00
_space_group_name_H-M_alt 'P 4/m b m'
_space_group_IT_number 127
_space_group_name_Hall '-P 4 2ab'
loop_
_atom_site_label
_atom_site_type_symbol
_atom_site_fract_x
_atom_site_fract_y
_atom_site_fract_z
_atom_site_occupancy
Na1 Na 0.000 0.000 0.000 1
Li1 Li 0.119 0.381 0.000 1
Bi1 Bi 0.176 0.676 0.500 1
```